This record from Alexandria describes RbLaS2O8 after structural relaxation. The functional is PBE.

Computed properties:
The crystal system is trigonal. The value obtained for the energy relative to the elements, uncorrected is -2089 meV per atom.

Cell: 5.4875 5.4875 8.6537 Å, 90.00 90.00 120.00°
Space group P-3 (No. 147)
Asymmetric unit:
Rb: 0.0000 0.0000 0.0000 x1
La: 0.0000 0.0000 0.5000 x1
S: 0.3333 0.6667 0.7377 x2
O: 0.1230 0.3823 0.6754 x6
O: 0.3333 0.6667 0.9061 x2